A) Compound: NaCoC2
Source: the Alexandria database
Functional: PBE
Structure: relaxed

As for the density: 3.2 g/cm³. As for the magnetic moment: 0.000 μB/f.u.

Lattice parameters (Å, degrees): 6.2970 6.2970 6.2970 138.31 138.31 60.43
Atoms (fractional coordinates):
Na 0.3750 0.6250 0.7500
Na 0.6250 0.3750 0.2500
Co 0.1250 0.8750 0.2500
Co 0.8750 0.1250 0.7500
C 0.0000 0.0000 0.0000
C 0.0000 0.0000 0.5000
C 0.0000 0.5000 0.0000
C 0.5000 0.0000 0.5000

***

B) Compound: NaCoC2
Source: the Alexandria database
Functional: PBE
Structure: relaxed

As for the density: 4.9 g/cm³. As for the magnetic moment: 0.000 μB/f.u.

Lattice parameters (Å, degrees): 3.7026 3.7026 3.7026 60.00 60.00 60.00
Atoms (fractional coordinates):
Na 0.0000 0.0000 0.0000
Co 0.5000 0.5000 0.5000
C 0.2500 0.2500 0.2500
C 0.7500 0.7500 0.7500

***

The energetic minimum among the shown structures is A); the next structure lies 965 meV per atom above.